Record 1
The following is a PBE-GGA calculation of a geometry-optimized Nb5PdS8 structure, from Alexandria via LeMat-Bulk.

Results
The calculation puts the total DFT energy (no corrections) at -7.13 eV per atom. As for the space group: No. 216. The theoretical density is 4.86 g cm⁻³. The uncorrected formation energy comes out at -1083 kJ/mol of formula units.

a = 7.3681 Å, b = 7.3681 Å, c = 7.3681 Å
α = 60.00°, β = 60.00°, γ = 60.00°
Each line ends with the local moment (μB).
Atoms (fractional coordinates):
S1 0.3760 0.3760 0.3760  0.00
S2 0.8656 0.4031 0.8656  -0.03
S3 0.3760 0.3760 0.8720  0.00
S4 0.4031 0.8656 0.8656  -0.03
Nb1 0.1872 0.6043 0.6043  0.20
S5 0.8656 0.8656 0.8656  -0.03
Nb2 0.6043 0.1872 0.6043  0.20
Pd1 0.2500 0.2500 0.2500  0.03
S6 0.3760 0.8720 0.3760  0.00
S7 0.8656 0.8656 0.4031  -0.03
S8 0.8720 0.3760 0.3760  0.00
Nb3 0.6043 0.6043 0.1872  0.20
Nb4 0.6043 0.6043 0.6043  0.20
Nb5 0.0000 0.0000 0.0000  1.18

=====

Record 2
The following is a PBE-GGA calculation of a geometry-optimized V3NiPb structure, from Alexandria via LeMat-Bulk.

Results
For the excess energy over the best structure of this formula in the dataset, the calculation gives 0.000 eV per atom. The formation energy comes out at 3.53 eV per formula unit. The calculation puts the total DFT energy (no corrections) at -6.66 eV per atom. As for the space group: No. 221. The theoretical density is 8.04 g cm⁻³.

a = 4.4216 Å, b = 4.4216 Å, c = 4.4216 Å
α = 90.00°, β = 90.00°, γ = 90.00°
Atoms (fractional coordinates):
V1 0.0000 0.0000 0.5000
Pb1 0.5000 0.5000 0.5000
Ni1 0.0000 0.0000 0.0000
V2 0.0000 0.5000 0.0000
V3 0.5000 0.0000 0.0000

=====

What did the second record say?
The following is a PBE-GGA calculation of a geometry-optimized V3NiPb structure, from Alexandria via LeMat-Bulk.

Results
For the excess energy over the best structure of this formula in the dataset, the calculation gives 0.000 eV per atom. The formation energy comes out at 3.53 eV per formula unit. The calculation puts the total DFT energy (no corrections) at -6.66 eV per atom. As for the space group: No. 221. The theoretical density is 8.04 g cm⁻³.

a = 4.4216 Å, b = 4.4216 Å, c = 4.4216 Å
α = 90.00°, β = 90.00°, γ = 90.00°
Atoms (fractional coordinates):
V1 0.0000 0.0000 0.5000
Pb1 0.5000 0.5000 0.5000
Ni1 0.0000 0.0000 0.0000
V2 0.0000 0.5000 0.0000
V3 0.5000 0.0000 0.0000

=====

Which of these has the highest total DFT energy (no corrections)? V3NiPb